No. 1
The following is a PBE calculation of a relaxed Tm4InRh crystal, from Alexandria via LeMat-Bulk.

The structure in CIF format:
```
data_Tm4InRh
_chemical_formula_sum 'Tm4 In1 Rh1'
_cell_length_a 4.839
_cell_length_b 4.840
_cell_length_c 7.273
_cell_angle_alpha 89.93
_cell_angle_beta 89.97
_cell_angle_gamma 90.00
_space_group_name_H-M_alt 'P 1'
_space_group_IT_number 1
loop_
_space_group_symop_operation_xyz
'x,y,z'
loop_
_atom_site_label
_atom_site_type_symbol
_atom_site_fract_x
_atom_site_fract_y
_atom_site_fract_z
In1 In 0.501 0.497 0.998
Tm1 Tm 0.002 0.498 0.723
Tm2 Tm 0.001 0.497 0.274
Tm3 Tm 0.501 0.997 0.273
Tm4 Tm 0.502 0.998 0.723
Rh1 Rh 0.001 0.997 0.498
```

- energy relative to the elements (eV per atom) = -0.35
- space-group type = C2/m (12)
- polymorph energy (0 for the lowest one) (eV/atom) = 0.2322
- V (Å³/atom) = 28.393



No. 2
The following is a PBE calculation of a relaxed Tm5In2Rh2 crystal, from Alexandria via LeMat-Bulk.

The structure in CIF format:
```
data_Tm5In2Rh2
_chemical_formula_sum 'Tm10 In4 Rh4'
_cell_length_a 7.394
_cell_length_b 7.502
_cell_length_c 8.952
_cell_angle_alpha 114.77
_cell_angle_beta 90.00
_cell_angle_gamma 90.00
_space_group_name_H-M_alt 'P 1'
_space_group_IT_number 1
loop_
_space_group_symop_operation_xyz
'x,y,z'
loop_
_atom_site_label
_atom_site_type_symbol
_atom_site_fract_x
_atom_site_fract_y
_atom_site_fract_z
Tm1 Tm 0.334 0.945 0.233
Tm2 Tm 0.666 0.055 0.767
Tm3 Tm 0.166 0.212 0.767
Tm4 Tm 0.166 0.445 0.233
Tm5 Tm 0.834 0.555 0.767
Tm6 Tm 0.500 0.500 0.000
Tm7 Tm 0.000 0.000 0.000
Tm8 Tm 0.834 0.788 0.233
Tm9 Tm 0.666 0.288 0.233
Tm10 Tm 0.334 0.712 0.767
Rh1 Rh 0.135 0.635 0.000
Rh2 Rh 0.635 0.865 0.000
Rh3 Rh 0.865 0.365 0.000
Rh4 Rh 0.365 0.135 0.000
In1 In 0.500 0.278 0.557
In2 In 0.500 0.722 0.443
In3 In 0.000 0.778 0.557
In4 In 0.000 0.222 0.443
```

- energy relative to the elements (eV per atom) = -0.61
- space-group type = Cmce (64)
- V (Å³/atom) = 25.050



No. 3
The following is a PBE calculation of a relaxed Tm4In3Rh crystal, from Alexandria via LeMat-Bulk.

The structure in CIF format:
```
data_Tm4In3Rh
_chemical_formula_sum 'Tm4 In3 Rh1'
_cell_length_a 3.468
_cell_length_b 3.468
_cell_length_c 16.003
_cell_angle_alpha 90.00
_cell_angle_beta 90.00
_cell_angle_gamma 90.00
_space_group_name_H-M_alt 'P 1'
_space_group_IT_number 1
loop_
_space_group_symop_operation_xyz
'x,y,z'
loop_
_atom_site_label
_atom_site_type_symbol
_atom_site_fract_x
_atom_site_fract_y
_atom_site_fract_z
In1 In 0.500 0.500 0.500
In2 In 0.500 0.500 0.238
In3 In 0.500 0.500 0.762
Tm1 Tm 0.000 0.000 0.368
Tm2 Tm 0.000 0.000 0.101
Tm3 Tm 0.000 0.000 0.899
Tm4 Tm 0.000 0.000 0.632
Rh1 Rh 0.500 0.500 0.000
```

- energy relative to the elements (eV per atom) = -0.58
- space-group type = P4/mmm (123)
- V (Å³/atom) = 24.058



No. 4
The following is a PBE calculation of a relaxed YTmInRh crystal, from Alexandria via LeMat-Bulk.

The structure in CIF format:
```
data_YTmInRh
_chemical_formula_sum 'Y1 Tm1 In1 Rh1'
_cell_length_a 5.067
_cell_length_b 5.067
_cell_length_c 5.067
_cell_angle_alpha 60.00
_cell_angle_beta 60.00
_cell_angle_gamma 60.00
_space_group_name_H-M_alt 'P 1'
_space_group_IT_number 1
loop_
_space_group_symop_operation_xyz
'x,y,z'
loop_
_atom_site_label
_atom_site_type_symbol
_atom_site_fract_x
_atom_site_fract_y
_atom_site_fract_z
In1 In 0.250 0.250 0.250
Y1 Y 0.000 0.000 0.000
Rh1 Rh 0.750 0.750 0.750
Tm1 Tm 0.500 0.500 0.500
```

- energy relative to the elements (eV per atom) = -0.58
- space-group type = F-43m (216)
- V (Å³/atom) = 23.002



No. 5
The following is a PBE calculation of a relaxed Tm2Zn2InRh5 crystal, from Alexandria via LeMat-Bulk.

The structure in CIF format:
```
data_Tm2Zn2InRh5
_chemical_formula_sum 'Tm4 Zn4 In2 Rh10'
_cell_length_a 3.681
_cell_length_b 9.615
_cell_length_c 9.615
_cell_angle_alpha 90.00
_cell_angle_beta 90.00
_cell_angle_gamma 90.00
_space_group_name_H-M_alt 'P 1'
_space_group_IT_number 1
loop_
_space_group_symop_operation_xyz
'x,y,z'
loop_
_atom_site_label
_atom_site_type_symbol
_atom_site_fract_x
_atom_site_fract_y
_atom_site_fract_z
Tm1 Tm 0.000 0.174 0.326
Tm2 Tm 0.000 0.326 0.826
Tm3 Tm 0.000 0.826 0.674
Tm4 Tm 0.000 0.674 0.174
Rh1 Rh 0.500 0.928 0.205
Rh2 Rh 0.500 0.295 0.572
Rh3 Rh 0.500 0.205 0.072
Rh4 Rh 0.500 0.572 0.705
Rh5 Rh 0.500 0.428 0.295
Rh6 Rh 0.500 0.000 0.500
Rh7 Rh 0.500 0.795 0.928
Rh8 Rh 0.500 0.072 0.795
Rh9 Rh 0.500 0.705 0.428
Rh10 Rh 0.500 0.500 0.000
Zn1 Zn 0.000 0.376 0.124
Zn2 Zn 0.000 0.624 0.876
Zn3 Zn 0.000 0.124 0.624
Zn4 Zn 0.000 0.876 0.376
In1 In 0.000 0.000 0.000
In2 In 0.000 0.500 0.500
```

- energy relative to the elements (eV per atom) = -0.62
- space-group type = P4/mbm (127)
- V (Å³/atom) = 17.012



No. 6
The following is a PBE calculation of a relaxed UInRh4 crystal, from Alexandria via LeMat-Bulk.

The structure in CIF format:
```
data_UInRh4
_chemical_formula_sum 'U2 In2 Rh8'
_cell_length_a 4.047
_cell_length_b 7.835
_cell_length_c 6.662
_cell_angle_alpha 90.00
_cell_angle_beta 107.69
_cell_angle_gamma 90.00
_space_group_name_H-M_alt 'P 1'
_space_group_IT_number 1
loop_
_space_group_symop_operation_xyz
'x,y,z'
loop_
_atom_site_label
_atom_site_type_symbol
_atom_site_fract_x
_atom_site_fract_y
_atom_site_fract_z
In1 In 0.152 0.250 0.304
In2 In 0.848 0.750 0.696
Rh1 Rh 0.000 0.000 0.000
Rh2 Rh 0.492 0.250 0.985
Rh3 Rh 0.000 0.500 0.000
Rh4 Rh 0.668 0.507 0.337
Rh5 Rh 0.332 0.007 0.663
Rh6 Rh 0.508 0.750 0.015
Rh7 Rh 0.332 0.493 0.663
Rh8 Rh 0.668 0.993 0.337
U1 U 0.851 0.250 0.702
U2 U 0.149 0.750 0.298
```

- energy relative to the elements (eV per atom) = -0.49
- space-group type = Cmcm (63)
- polymorph energy (0 for the lowest one) (eV/atom) = 0.0000
- V (Å³/atom) = 16.774



- Among the records above, which one has the lowest V?
  UInRh4



- Among the records above, which one has the highest V?
  Tm4InRh



- Among the records above, which one has the lowest energy relative to the elements?
  Tm2Zn2InRh5